one | Below is a relaxed WCS2Cl crystal, with properties calculated at the PBE-GGA level.

POSCAR file:
```
WCS2Cl
1.0
-1.300 3.376 -1.847
-1.915 -2.258 -2.780
-3.333 -0.019 2.311
Cl S C W
1 2 1 1
Direct
0.000 0.000 0.500
0.000 0.500 0.000
0.500 0.000 0.000
0.000 0.000 0.000
0.500 0.500 0.500
```

The value obtained for the density of states at the Fermi level is 4.6 states/eV/f.u.

two | Below is a relaxed WCS2Cl crystal, with properties calculated at the PBE-GGA level.

POSCAR file:
```
WCS2Cl
1.0
4.655 0.000 0.000
0.000 4.655 0.000
0.000 0.000 4.801
C W Cl S
1 1 1 2
Direct
0.500 0.500 0.500
0.000 0.000 0.000
0.000 0.000 0.500
0.500 0.000 0.000
0.000 0.500 0.000
```

The value obtained for the density of states at the Fermi level is 5.0 states/eV/f.u.

Need the numbers? Relative energies in eV/atom: one 0.255; two 0.000.

one | Below is a relaxed YCS2Cl crystal, with properties calculated at the PBE-GGA level.

POSCAR file:
```
YCS2Cl
1.0
4.306 0.000 0.000
0.000 4.306 0.000
0.000 0.000 4.380
S Y C Cl
2 1 1 1
Direct
0.500 0.000 0.000
0.000 0.500 0.000
0.500 0.500 0.500
0.000 0.000 0.000
0.000 0.000 0.500
```

The value obtained for the density of states at the Fermi level is 1.4 states/eV/f.u.

two | Below is a relaxed YCS2Cl crystal, with properties calculated at the PBE-GGA level.

POSCAR file:
```
YCS2Cl
1.0
-4.027 3.197 -1.361
-1.969 -3.816 -3.138
-2.775 -1.815 3.949
S C Cl Y
2 1 1 1
Direct
0.000 0.500 0.000
0.500 0.000 0.000
0.500 0.500 0.500
0.000 0.000 0.500
0.000 0.000 0.000
```

The value obtained for the density of states at the Fermi level is 6.9 states/eV/f.u.

Need the numbers? Relative energies in eV/atom: one 0.000; two 0.786.